# HfZnSe3 | the Alexandria database | GGA-PBE | relaxed
# DOS(E_F) = 3.10 states/eV/f.u.
# Relative energy among the computed polymorphs = 0 meV/atom
# Formation energy from raw total energies = -1.60 eV/f.u.
data_HfZnSe3
_symmetry_space_group_name_H-M 'P m -3 m'
_symmetry_Int_Tables_number 221
_symmetry_space_group_name_Hall '-P 4 2 3'
_cell_length_a 5.1806
_cell_length_b 5.1806
_cell_length_c 5.1806
_cell_angle_alpha 90.00
_cell_angle_beta 90.00
_cell_angle_gamma 90.00
loop_
_atom_site_label
_atom_site_fract_x
_atom_site_fract_y
_atom_site_fract_z
Hf1 0.0000 0.0000 0.0000
Zn1 0.5000 0.5000 0.5000
Se1 0.0000 0.0000 0.5000